1.
# AcAlRu PBE optimized geometry
data_AcAlRu
_chemical_formula_sum 'Ac1 Al1 Ru1'
_cell_length_a 3.378
_cell_length_b 3.378
_cell_length_c 6.282
_cell_angle_alpha 105.60
_cell_angle_beta 105.60
_cell_angle_gamma 90.00
_symmetry_space_group_name_H-M 'P 1'
_symmetry_Int_Tables_number 1
loop_
_symmetry_equiv_pos_as_xyz
'x,y,z'
loop_
_atom_site_label
_atom_site_fract_x
_atom_site_fract_y
_atom_site_fract_z
_atom_site_occupancy
Al1 0.288 0.288 0.577 1
Ac1 0.012 0.012 0.024 1
Ru1 0.700 0.700 0.399 1
# ρ in g/cm3: 8.9
# DFT total energy in eV/atom: -5.917
# Polymorph energy (0 for the lowest one) in meV/atom: 255
# ΔH_f (0 K) in eV/atom: -0.208

2.
# AcAl11Ru PBE optimized geometry
data_AcAl11Ru
_chemical_formula_sum 'Ac1 Al11 Ru1'
_cell_length_a 5.240
_cell_length_b 7.347
_cell_length_c 6.926
_cell_angle_alpha 82.78
_cell_angle_beta 67.77
_cell_angle_gamma 70.60
_symmetry_space_group_name_H-M 'P 1'
_symmetry_Int_Tables_number 1
loop_
_symmetry_equiv_pos_as_xyz
'x,y,z'
loop_
_atom_site_label
_atom_site_fract_x
_atom_site_fract_y
_atom_site_fract_z
_atom_site_occupancy
Al1 0.016 0.637 0.348 1
Al2 0.273 0.238 0.224 1
Al3 0.000 0.500 0.000 1
Al4 0.500 0.000 0.500 1
Al5 0.497 0.238 0.776 1
Al6 0.364 0.637 0.652 1
Al7 0.727 0.762 0.776 1
Al8 0.636 0.363 0.348 1
Al9 0.000 0.000 0.500 1
Al10 0.984 0.363 0.652 1
Al11 0.503 0.762 0.224 1
Ru1 0.500 0.500 0.000 1
Ac1 0.000 0.000 0.000 1
# ρ in g/cm3: 4.5
# DFT total energy in eV/atom: -4.468
# ΔH_f (0 K) in eV/atom: -0.271

3.
# AcAlRu PBE optimized geometry
data_AcAlRu
_chemical_formula_sum 'Ac1 Al1 Ru1'
_cell_length_a 4.541
_cell_length_b 4.316
_cell_length_c 4.316
_cell_angle_alpha 120.00
_cell_angle_beta 90.00
_cell_angle_gamma 90.00
_symmetry_space_group_name_H-M 'P 1'
_symmetry_Int_Tables_number 1
loop_
_symmetry_equiv_pos_as_xyz
'x,y,z'
loop_
_atom_site_label
_atom_site_fract_x
_atom_site_fract_y
_atom_site_fract_z
_atom_site_occupancy
Al1 0.167 0.000 0.000 1
Ru1 0.166 0.667 0.333 1
Ac1 0.667 0.333 0.667 1
# ρ in g/cm3: 8.0
# DFT total energy in eV/atom: -6.036
# Polymorph energy (0 for the lowest one) in meV/atom: 136
# ΔH_f (0 K) in eV/atom: -0.327

4.
# AcAl9Ru2 PBE optimized geometry
data_AcAl9Ru2
_chemical_formula_sum 'Ac1 Al9 Ru2'
_cell_length_a 3.996
_cell_length_b 8.138
_cell_length_c 8.138
_cell_angle_alpha 120.00
_cell_angle_beta 90.00
_cell_angle_gamma 90.00
_symmetry_space_group_name_H-M 'P 1'
_symmetry_Int_Tables_number 1
loop_
_symmetry_equiv_pos_as_xyz
'x,y,z'
loop_
_atom_site_label
_atom_site_fract_x
_atom_site_fract_y
_atom_site_fract_z
_atom_site_occupancy
Al1 0.500 0.211 0.789 1
Al2 0.000 0.500 0.500 1
Al3 0.500 0.422 0.211 1
Al4 0.500 0.211 0.422 1
Al5 0.500 0.789 0.211 1
Al6 0.000 0.000 0.500 1
Al7 0.500 0.578 0.789 1
Al8 0.500 0.789 0.578 1
Al9 0.000 0.500 0.000 1
Ac1 0.000 0.000 0.000 1
Ru1 0.000 0.333 0.667 1
Ru2 0.000 0.667 0.333 1
# ρ in g/cm3: 4.9
# DFT total energy in eV/atom: -5.149
# ΔH_f (0 K) in eV/atom: -0.454

5.
# AcAlRu2 PBE optimized geometry
data_AcAlRu2
_chemical_formula_sum 'Ac1 Al1 Ru2'
_cell_length_a 3.323
_cell_length_b 3.323
_cell_length_c 6.889
_cell_angle_alpha 90.00
_cell_angle_beta 90.00
_cell_angle_gamma 90.00
_symmetry_space_group_name_H-M 'P 1'
_symmetry_Int_Tables_number 1
loop_
_symmetry_equiv_pos_as_xyz
'x,y,z'
loop_
_atom_site_label
_atom_site_fract_x
_atom_site_fract_y
_atom_site_fract_z
_atom_site_occupancy
Ac1 0.500 0.500 0.500 1
Ru1 0.000 0.000 0.806 1
Ru2 0.000 0.000 0.194 1
Al1 0.500 0.500 0.000 1
# ρ in g/cm3: 10.0
# DFT total energy in eV/atom: -6.614
# ΔH_f (0 K) in eV/atom: -0.013

6.
# AcAlRu PBE optimized geometry
data_AcAlRu
_chemical_formula_sum 'Ac2 Al2 Ru2'
_cell_length_a 4.577
_cell_length_b 4.577
_cell_length_c 7.208
_cell_angle_alpha 90.00
_cell_angle_beta 90.26
_cell_angle_gamma 90.00
_symmetry_space_group_name_H-M 'P 1'
_symmetry_Int_Tables_number 1
loop_
_symmetry_equiv_pos_as_xyz
'x,y,z'
loop_
_atom_site_label
_atom_site_fract_x
_atom_site_fract_y
_atom_site_fract_z
_atom_site_occupancy
Ac1 0.751 0.250 0.799 1
Ac2 0.249 0.750 0.201 1
Ru1 0.750 0.750 0.500 1
Ru2 0.250 0.250 0.500 1
Al1 0.749 0.250 0.344 1
Al2 0.251 0.750 0.656 1
# ρ in g/cm3: 7.8
# DFT total energy in eV/atom: -6.172
# Polymorph energy (0 for the lowest one) in meV/atom: 0
# ΔH_f (0 K) in eV/atom: -0.463

7.
# AcAl4Ru PBE optimized geometry
data_AcAl4Ru
_chemical_formula_sum 'Ac2 Al8 Ru2'
_cell_length_a 4.218
_cell_length_b 7.348
_cell_length_c 7.896
_cell_angle_alpha 90.00
_cell_angle_beta 90.00
_cell_angle_gamma 90.00
_symmetry_space_group_name_H-M 'P 1'
_symmetry_Int_Tables_number 1
loop_
_symmetry_equiv_pos_as_xyz
'x,y,z'
loop_
_atom_site_label
_atom_site_fract_x
_atom_site_fract_y
_atom_site_fract_z
_atom_site_occupancy
Al1 0.500 0.285 0.929 1
Al2 0.500 0.715 0.071 1
Al3 0.000 0.000 0.000 1
Al4 0.500 0.040 0.250 1
Al5 0.500 0.715 0.429 1
Al6 0.000 0.000 0.500 1
Al7 0.500 0.960 0.750 1
Al8 0.500 0.285 0.571 1
Ac1 0.000 0.617 0.750 1
Ac2 0.000 0.383 0.250 1
Ru1 0.000 0.184 0.750 1
Ru2 0.000 0.816 0.250 1
# ρ in g/cm3: 5.9
# DFT total energy in eV/atom: -5.253
# ΔH_f (0 K) in eV/atom: -0.527

8.
# AcAlRu PBE optimized geometry
data_AcAlRu
_chemical_formula_sum 'Ac2 Al2 Ru2'
_cell_length_a 4.704
_cell_length_b 6.084
_cell_length_c 7.476
_cell_angle_alpha 47.43
_cell_angle_beta 71.66
_cell_angle_gamma 67.26
_symmetry_space_group_name_H-M 'P 1'
_symmetry_Int_Tables_number 1
loop_
_symmetry_equiv_pos_as_xyz
'x,y,z'
loop_
_atom_site_label
_atom_site_fract_x
_atom_site_fract_y
_atom_site_fract_z
_atom_site_occupancy
Al1 0.894 0.843 0.368 1
Al2 0.106 0.157 0.632 1
Ru1 0.686 0.968 0.660 1
Ru2 0.314 0.032 0.340 1
Ac1 0.623 0.568 0.186 1
Ac2 0.377 0.432 0.814 1
# ρ in g/cm3: 8.1
# DFT total energy in eV/atom: -6.071
# Polymorph energy (0 for the lowest one) in meV/atom: 102
# ΔH_f (0 K) in eV/atom: -0.362

9.
# AcAl2SiRu2 PBE optimized geometry
data_AcAl2SiRu2
_chemical_formula_sum 'Ac1 Al2 Si1 Ru2'
_cell_length_a 4.465
_cell_length_b 4.465
_cell_length_c 6.037
_cell_angle_alpha 90.00
_cell_angle_beta 90.00
_cell_angle_gamma 90.00
_symmetry_space_group_name_H-M 'P 1'
_symmetry_Int_Tables_number 1
loop_
_symmetry_equiv_pos_as_xyz
'x,y,z'
loop_
_atom_site_label
_atom_site_fract_x
_atom_site_fract_y
_atom_site_fract_z
_atom_site_occupancy
Ru1 0.000 0.500 0.000 1
Ru2 0.500 0.000 0.000 1
Al1 0.500 0.500 0.751 1
Al2 0.500 0.500 0.249 1
Ac1 0.000 0.000 0.500 1
Si1 0.000 0.000 0.000 1
# Uncorrected formation energy in eV/atom: -0.45
# ρ in g/cm3: 7.1
# DFT total energy in eV/atom: -6.381

10.
# Ac3AlS PBE optimized geometry
data_Ac3AlS
_chemical_formula_sum 'Ac3 Al1 S1'
_cell_length_a 5.707
_cell_length_b 5.707
_cell_length_c 5.707
_cell_angle_alpha 90.00
_cell_angle_beta 90.00
_cell_angle_gamma 90.00
_symmetry_space_group_name_H-M 'P 1'
_symmetry_Int_Tables_number 1
loop_
_symmetry_equiv_pos_as_xyz
'x,y,z'
loop_
_atom_site_label
_atom_site_fract_x
_atom_site_fract_y
_atom_site_fract_z
_atom_site_occupancy
Ac1 0.500 0.000 0.000 1
Ac2 0.000 0.000 0.500 1
Ac3 0.000 0.500 0.000 1
Al1 0.500 0.500 0.500 1
S1 0.000 0.000 0.000 1
# Uncorrected formation energy in eV/atom: -0.61
# ρ in g/cm3: 6.6
# DFT total energy in eV/atom: -4.648

11.
# Ac2Al2S7 PBE optimized geometry
data_Ac2Al2S7
_chemical_formula_sum 'Ac2 Al2 S7'
_cell_length_a 6.562
_cell_length_b 7.601
_cell_length_c 7.601
_cell_angle_alpha 111.60
_cell_angle_beta 102.06
_cell_angle_gamma 102.06
_symmetry_space_group_name_H-M 'P 1'
_symmetry_Int_Tables_number 1
loop_
_symmetry_equiv_pos_as_xyz
'x,y,z'
loop_
_atom_site_label
_atom_site_fract_x
_atom_site_fract_y
_atom_site_fract_z
_atom_site_occupancy
S1 0.000 0.000 0.000 1
S2 0.767 0.695 0.695 1
S3 0.275 0.586 0.892 1
S4 0.725 0.108 0.414 1
S5 0.725 0.414 0.108 1
S6 0.233 0.305 0.305 1
S7 0.275 0.892 0.586 1
Al1 0.135 0.778 0.778 1
Al2 0.865 0.222 0.222 1
Ac1 0.500 0.690 0.310 1
Ac2 0.500 0.310 0.690 1
# Uncorrected formation energy in eV/atom: -1.31
# ρ in g/cm3: 3.7
# DFT total energy in eV/atom: -5.365

12.
# Ac2AlS PBE optimized geometry
data_Ac2AlS
_chemical_formula_sum 'Ac2 Al1 S1'
_cell_length_a 4.333
_cell_length_b 4.333
_cell_length_c 8.402
_cell_angle_alpha 75.06
_cell_angle_beta 75.06
_cell_angle_gamma 60.00
_symmetry_space_group_name_H-M 'P 1'
_symmetry_Int_Tables_number 1
loop_
_symmetry_equiv_pos_as_xyz
'x,y,z'
loop_
_atom_site_label
_atom_site_fract_x
_atom_site_fract_y
_atom_site_fract_z
_atom_site_occupancy
Ac1 0.243 0.243 0.271 1
Ac2 0.757 0.757 0.729 1
S1 0.500 0.500 0.500 1
Al1 0.000 0.000 0.000 1
# Uncorrected formation energy in eV/atom: -1.00
# ρ in g/cm3: 6.5
# DFT total energy in eV/atom: -5.019
# Polymorph energy (0 for the lowest one) in meV/atom: 0